NpCr2PO8 | GGA+U | optimized geometry

Cell: 6.3685 6.3782 6.2824 Å, 90.00 90.00 90.00°
Closest atoms and distances in Å follow each position.
Space group Cmmm (No. 65)
Symmetry-distinct sites (fractional):
Np 0.0000 0.0000 0.0000 (multiplicity 2)  6 O 2.02-2.20
Cr 0.0000 0.5000 0.2739 (multiplicity 4)  6 O 2.00-2.08
P 0.0000 0.0000 0.5000 (multiplicity 2)  6 O 1.72-1.79
O 0.0000 0.2803 0.5000 (multiplicity 4)  1 P 1.79, 2 Cr 2.00
O 0.0000 0.3167 0.0000 (multiplicity 4)  1 Np 2.02, 2 Cr 2.08
O 0.1828 0.0000 0.2976 (multiplicity 8)  1 P 1.72

Properties
E, eV/atom: -8.185